SmB3Pt6 | PBE-GGA | optimized geometry

final energy = -6.583 eV per atom
total moment = 0.000 μB/f.u.
ΔE_f = -11.144 kcal/mol of atoms
mass density = 15.33 g/cm3
D(E_F) = 0.33 states/eV per atom

Lattice parameters (Å, degrees): 5.6212 5.6348 5.8006 109.96 90.83 119.45
Atoms (fractional coordinates):
Sm: 0.0000 0.0000 0.0000
B: 0.1267 0.2362 0.5110
B: 0.3479 0.7314 0.1399
B: 0.7009 0.4112 0.1563
Pt: 0.0943 0.5731 0.3875
Pt: 0.4651 0.9453 0.8650
Pt: 0.4735 0.4520 0.8710
Pt: 0.4764 0.1824 0.3885
Pt: 0.7119 0.8132 0.4019
Pt: 0.9559 0.4059 0.8132